# BaCoF2

A relaxed BaCoF2 crystal (PBE with a Hubbard U, the Alexandria database).

Cell: 8.0306 8.0306 8.0306 Å, 143.98 143.98 51.85°
Closest atoms and distances in Å follow each position.
Sites, in units of the cell vectors:
1 Ba 0.0000 0.0000 0.0000  4 F 2.59
2 Ba 0.7500 0.2500 0.5000  4 F 2.59
3 Co 0.2500 0.7500 0.5000  4 F 2.45
4 Co 0.5000 0.5000 0.0000  4 F 2.45
5 F 0.1542 0.6250 0.0292  2 Co 2.45, 2 Ba 2.59
6 F 0.3750 0.4042 0.5292  2 Co 2.45, 2 Ba 2.59
7 F 0.5958 0.1250 0.9708  2 Co 2.45, 2 Ba 2.59
8 F 0.8750 0.8458 0.4708  2 Co 2.45, 2 Ba 2.59

Computed properties:
Electronic total energy   -4.44 eV/atom
Magnetization   4.774 Bohr magnetons per cell
Polymorph energy (0 for the lowest one)   158 meV/atom
Calculated density   4.37 g cm⁻³